Record 1
# ZnCrP2Cl | Alexandria | PBE | optimized geometry
# Offset from the most stable computed form in kJ per mole of atoms: 0.00
# E_tot in eV/atom: -4.449
data_ZnCrP2Cl
_chemical_formula_sum 'Zn1 Cr1 P2 Cl1'
_symmetry_space_group_name_H-M 'P 4/m m m'
_symmetry_Int_Tables_number 123
_symmetry_space_group_name_Hall '-P 4 2'
_cell_length_a 4.386
_cell_length_b 4.386
_cell_length_c 5.083
_cell_angle_alpha 90.00
_cell_angle_beta 90.00
_cell_angle_gamma 90.00
loop_
_atom_site_label
_atom_site_type_symbol
_atom_site_fract_x
_atom_site_fract_y
_atom_site_fract_z
_atom_site_occupancy
Zn1 Zn 0.000 0.000 0.000 1
Cr1 Cr 0.500 0.500 0.500 1
P1 P 0.000 0.500 0.500 1
Cl1 Cl 0.500 0.500 0.000 1

=====

Record 2
# ZnCrP2Cl | Alexandria | PBE | optimized geometry
# Offset from the most stable computed form in kJ per mole of atoms: 88.99
# E_tot in eV/atom: -3.526
data_ZnCrP2Cl
_chemical_formula_sum 'Zn1 Cr1 P2 Cl1'
_symmetry_space_group_name_H-M 'P 4/m m m'
_symmetry_Int_Tables_number 123
_symmetry_space_group_name_Hall '-P 4 2'
_cell_length_a 4.550
_cell_length_b 4.550
_cell_length_c 4.873
_cell_angle_alpha 90.00
_cell_angle_beta 90.00
_cell_angle_gamma 90.00
loop_
_atom_site_label
_atom_site_type_symbol
_atom_site_fract_x
_atom_site_fract_y
_atom_site_fract_z
_atom_site_occupancy
Zn1 Zn 0.000 0.000 0.000 1
Cr1 Cr 0.500 0.500 0.500 1
P1 P 0.000 0.500 0.000 1
Cl1 Cl 0.000 0.000 0.500 1

=====

Record 3
# ZnCrPCl2 | Alexandria | PBE | optimized geometry
# Offset from the most stable computed form in kJ per mole of atoms: 52.73
# E_tot in eV/atom: -3.494
data_ZnCrPCl2
_chemical_formula_sum 'Zn1 Cr1 P1 Cl2'
_symmetry_space_group_name_H-M 'P 4/m m m'
_symmetry_Int_Tables_number 123
_symmetry_space_group_name_Hall '-P 4 2'
_cell_length_a 4.333
_cell_length_b 4.333
_cell_length_c 5.748
_cell_angle_alpha 90.00
_cell_angle_beta 90.00
_cell_angle_gamma 90.00
loop_
_atom_site_label
_atom_site_type_symbol
_atom_site_fract_x
_atom_site_fract_y
_atom_site_fract_z
_atom_site_occupancy
Zn1 Zn 0.000 0.000 0.000 1
Cr1 Cr 0.000 0.000 0.500 1
P1 P 0.500 0.500 0.000 1
Cl1 Cl 0.000 0.500 0.500 1

=====

Record 4
# ZnCrPCl2 | Alexandria | PBE | optimized geometry
# Offset from the most stable computed form in kJ per mole of atoms: 0.00
# E_tot in eV/atom: -4.041
data_ZnCrPCl2
_chemical_formula_sum 'Zn1 Cr1 P1 Cl2'
_symmetry_space_group_name_H-M 'P 4/m m m'
_symmetry_Int_Tables_number 123
_symmetry_space_group_name_Hall '-P 4 2'
_cell_length_a 4.723
_cell_length_b 4.723
_cell_length_c 4.808
_cell_angle_alpha 90.00
_cell_angle_beta 90.00
_cell_angle_gamma 90.00
loop_
_atom_site_label
_atom_site_type_symbol
_atom_site_fract_x
_atom_site_fract_y
_atom_site_fract_z
_atom_site_occupancy
Zn1 Zn 0.000 0.000 0.000 1
Cr1 Cr 0.500 0.500 0.500 1
P1 P 0.500 0.500 0.000 1
Cl1 Cl 0.000 0.500 0.500 1

=====

Record 5
# ZrCrPCl2 | Alexandria | PBE | optimized geometry
# Offset from the most stable computed form in kJ per mole of atoms: 20.32
# E_tot in eV/atom: -5.508
data_ZrCrPCl2
_chemical_formula_sum 'Zr1 Cr1 P1 Cl2'
_symmetry_space_group_name_H-M 'P 4/m m m'
_symmetry_Int_Tables_number 123
_symmetry_space_group_name_Hall '-P 4 2'
_cell_length_a 4.520
_cell_length_b 4.520
_cell_length_c 5.085
_cell_angle_alpha 90.00
_cell_angle_beta 90.00
_cell_angle_gamma 90.00
loop_
_atom_site_label
_atom_site_type_symbol
_atom_site_fract_x
_atom_site_fract_y
_atom_site_fract_z
_atom_site_occupancy
Zr1 Zr 0.000 0.000 0.000 1
Cr1 Cr 0.500 0.500 0.500 1
P1 P 0.500 0.500 0.000 1
Cl1 Cl 0.000 0.500 0.500 1

=====

Record 6
# ZrCrPCl2 | Alexandria | PBE | optimized geometry
# Offset from the most stable computed form in kJ per mole of atoms: 0.00
# E_tot in eV/atom: -5.719
data_ZrCrPCl2
_chemical_formula_sum 'Zr1 Cr1 P1 Cl2'
_symmetry_space_group_name_H-M 'P 4/m m m'
_symmetry_Int_Tables_number 123
_symmetry_space_group_name_Hall '-P 4 2'
_cell_length_a 4.956
_cell_length_b 4.956
_cell_length_c 5.202
_cell_angle_alpha 90.00
_cell_angle_beta 90.00
_cell_angle_gamma 90.00
loop_
_atom_site_label
_atom_site_type_symbol
_atom_site_fract_x
_atom_site_fract_y
_atom_site_fract_z
_atom_site_occupancy
Zr1 Zr 0.000 0.000 0.000 1
Cr1 Cr 0.500 0.500 0.500 1
P1 P 0.000 0.000 0.500 1
Cl1 Cl 0.000 0.500 0.000 1

=====

Record 7
# PaCrCl6 | Alexandria | PBE | optimized geometry
# Offset from the most stable computed form in kJ per mole of atoms: 1.35
# E_tot in eV/atom: -5.279
data_PaCrCl6
_chemical_formula_sum 'Pa3 Cr3 Cl18'
_symmetry_space_group_name_H-M 'R -3'
_symmetry_Int_Tables_number 148
_symmetry_space_group_name_Hall '-R 3'
_cell_length_a 6.6287
_cell_length_b 6.6287
_cell_length_c 17.8831
_cell_angle_alpha 90.00
_cell_angle_beta 90.00
_cell_angle_gamma 120.00
loop_
_atom_site_label
_atom_site_type_symbol
_atom_site_fract_x
_atom_site_fract_y
_atom_site_fract_z
_atom_site_occupancy
Pa1 Pa 0.0000 0.0000 0.0000 1
Cr1 Cr 0.0000 0.0000 0.5000 1
Cl1 Cl 0.0055 0.6366 0.2483 1

=====

Record 8
# PaCrCl6 | Alexandria | PBE | optimized geometry
# Offset from the most stable computed form in kJ per mole of atoms: 0.00
# E_tot in eV/atom: -5.293
data_PaCrCl6
_chemical_formula_sum 'Pa2 Cr2 Cl12'
_symmetry_space_group_name_H-M 'C 1 2/m 1'
_symmetry_Int_Tables_number 12
_cell_length_a 6.529
_cell_length_b 12.508
_cell_length_c 6.530
_cell_angle_alpha 90.00
_cell_angle_beta 110.41
_cell_angle_gamma 90.00
loop_
_symmetry_equiv_pos_as_xyz
'x,y,z'
'-x,-y,-z'
'-x,y,-z'
'x,-y,z'
'x+1/2,y+1/2,z'
'-x+1/2,-y+1/2,-z'
'-x+1/2,y+1/2,-z'
'x+1/2,-y+1/2,z'
loop_
_atom_site_label
_atom_site_type_symbol
_atom_site_fract_x
_atom_site_fract_y
_atom_site_fract_z
_atom_site_occupancy
Pa1 Pa 0.000 0.000 0.000 1
Cr1 Cr 0.000 0.500 0.500 1
Cl1 Cl 0.231 0.359 0.732 1
Cl2 Cl 0.240 0.000 0.759 1

=====

Record 9
# CrPbCl | Alexandria | PBE | optimized geometry
# Offset from the most stable computed form in kJ per mole of atoms: 27.64
# E_tot in eV/atom: -4.865
data_CrPbCl
_chemical_formula_sum 'Cr1 Pb1 Cl1'
_symmetry_space_group_name_H-M 'P -6 m 2'
_symmetry_Int_Tables_number 187
_symmetry_space_group_name_Hall 'P -6 2'
_cell_length_a 4.5071
_cell_length_b 4.5071
_cell_length_c 3.8825
_cell_angle_alpha 90.00
_cell_angle_beta 90.00
_cell_angle_gamma 120.00
loop_
_atom_site_label
_atom_site_type_symbol
_atom_site_fract_x
_atom_site_fract_y
_atom_site_fract_z
_atom_site_occupancy
Cr1 Cr 0.0000 0.0000 0.0000 1
Pb1 Pb 0.6667 0.3333 0.5000 1
Cl1 Cl 0.3333 0.6667 0.0000 1

=====

Record 10
# CrPb4Cl | Alexandria | PBE | optimized geometry
# E_tot in eV/atom: -4.007
data_CrPb4Cl
_chemical_formula_sum 'Cr4 Pb16 Cl4'
_symmetry_space_group_name_H-M 'F -4 3 m'
_symmetry_Int_Tables_number 216
_symmetry_space_group_name_Hall 'F -4 2 3'
_cell_length_a 9.072
_cell_length_b 9.072
_cell_length_c 9.072
_cell_angle_alpha 90.00
_cell_angle_beta 90.00
_cell_angle_gamma 90.00
loop_
_atom_site_label
_atom_site_type_symbol
_atom_site_fract_x
_atom_site_fract_y
_atom_site_fract_z
_atom_site_occupancy
Cr1 Cr 0.000 0.000 0.000 1
Pb1 Pb 0.126 0.126 0.626 1
Cl1 Cl 0.250 0.250 0.250 1

=====

Number 1: DOS at the Fermi energy 0.395 states/eV/atom, formation energy without anion corrections 0.2640 eV/atom, ρ 3.6 g/cm3. Number 2: DOS at the Fermi energy 0.974 states/eV/atom, formation energy without anion corrections 1.1863 eV/atom, ρ 3.5 g/cm3. Number 3: DOS at the Fermi energy 0.983 states/eV/atom, formation energy without anion corrections 0.5059 eV/atom, ρ 3.4 g/cm3. Number 4: DOS at the Fermi energy 0.387 states/eV/atom, formation energy without anion corrections -0.0407 eV/atom, ρ 3.4 g/cm3. Number 5: DOS at the Fermi energy 1.147 states/eV/atom, formation energy without anion corrections -0.0533 eV/atom, ρ 3.9 g/cm3. Number 6: DOS at the Fermi energy 0.565 states/eV/atom, formation energy without anion corrections -0.2640 eV/atom, ρ 3.2 g/cm3. Number 7: DOS at the Fermi energy 0.757 states/eV/atom, formation energy without anion corrections -1.5045 eV/atom, ρ 3.6 g/cm3. Number 8: DOS at the Fermi energy 0.697 states/eV/atom, formation energy without anion corrections -1.5184 eV/atom, ρ 3.3 g/cm3. Number 9: DOS at the Fermi energy 0.572 states/eV/atom, formation energy without anion corrections 0.1946 eV/atom, ρ 7.2 g/cm3. Number 10: DOS at the Fermi energy 0.581 states/eV/atom, formation energy without anion corrections 0.3772 eV/atom, ρ 8.2 g/cm3.